No. 1
# PBE Al2Co, relaxed
# **Space group**: No. 194
# **E**: -4.6367 eV/atom
# **Size of the total moment**: 0.013 μB/cell
data_Al2Co
_space_group_name_H-M_alt 'P 1'
_space_group_IT_number 1
_cell_length_a 4.993
_cell_length_b 4.993
_cell_length_c 7.862
_cell_angle_alpha 90.00
_cell_angle_beta 90.00
_cell_angle_gamma 120.00
loop_
_space_group_symop_operation_xyz
'x,y,z'
loop_
_atom_site_label
_atom_site_fract_x
_atom_site_fract_y
_atom_site_fract_z
Al1 0.000 0.000 0.000
Al2 0.000 0.000 0.500
Al3 0.173 0.345 0.250
Al4 0.173 0.827 0.250
Al5 0.345 0.173 0.750
Al6 0.655 0.827 0.250
Al7 0.827 0.173 0.750
Al8 0.827 0.655 0.750
Co1 0.333 0.667 0.526
Co2 0.333 0.667 0.974
Co3 0.667 0.333 0.026
Co4 0.667 0.333 0.474

=====

No. 2
# PBE Al7Co5, relaxed
# **Offset from the most stable computed form**: 1.76 eV/f.u.
# **Space group**: No. 194
# **E**: -5.1105 eV/atom
# **Size of the total moment**: 8.308 μB/cell
data_Al7Co5
_space_group_name_H-M_alt 'P 1'
_space_group_IT_number 1
_cell_length_a 4.802
_cell_length_b 4.802
_cell_length_c 16.118
_cell_angle_alpha 90.00
_cell_angle_beta 90.00
_cell_angle_gamma 120.00
loop_
_space_group_symop_operation_xyz
'x,y,z'
loop_
_atom_site_label
_atom_site_fract_x
_atom_site_fract_y
_atom_site_fract_z
Al1 0.000 0.000 0.081
Al2 0.000 0.000 0.419
Al3 0.000 0.000 0.581
Al4 0.000 0.000 0.919
Al5 0.165 0.330 0.250
Al6 0.165 0.835 0.250
Al7 0.330 0.165 0.750
Al8 0.333 0.667 0.117
Al9 0.333 0.667 0.383
Al10 0.667 0.333 0.617
Al11 0.667 0.333 0.883
Al12 0.670 0.835 0.250
Al13 0.835 0.165 0.750
Al14 0.835 0.670 0.750
Co1 0.000 0.500 0.000
Co2 0.000 0.500 0.500
Co3 0.333 0.667 0.665
Co4 0.333 0.667 0.835
Co5 0.500 0.000 0.000
Co6 0.500 0.000 0.500
Co7 0.500 0.500 0.000
Co8 0.500 0.500 0.500
Co9 0.667 0.333 0.165
Co10 0.667 0.333 0.335

=====

No. 3
# PBE Al2Co, relaxed
# **Space group**: No. 227
# **E**: -3.8546 eV/atom
# **Size of the total moment**: 0.010 μB/cell
data_Al2Co
_space_group_name_H-M_alt 'P 1'
_space_group_IT_number 1
_cell_length_a 7.220
_cell_length_b 7.220
_cell_length_c 7.220
_cell_angle_alpha 60.00
_cell_angle_beta 60.00
_cell_angle_gamma 60.00
loop_
_space_group_symop_operation_xyz
'x,y,z'
loop_
_atom_site_label
_atom_site_fract_x
_atom_site_fract_y
_atom_site_fract_z
Al1 0.000 0.000 0.000
Al2 0.000 0.000 0.500
Al3 0.000 0.500 0.000
Al4 0.500 0.000 0.000
Co1 0.125 0.125 0.125
Co2 0.875 0.875 0.875

=====

No. 4
# PBE AlCo28, relaxed
# **Space group**: No. 217
# **E**: -6.9802 eV/atom
# **Size of the total moment**: 45.043 μB/cell
data_AlCo28
_space_group_name_H-M_alt 'P 1'
_space_group_IT_number 1
_cell_length_a 7.433
_cell_length_b 7.433
_cell_length_c 7.433
_cell_angle_alpha 109.47
_cell_angle_beta 109.47
_cell_angle_gamma 109.47
loop_
_space_group_symop_operation_xyz
'x,y,z'
loop_
_atom_site_label
_atom_site_fract_x
_atom_site_fract_y
_atom_site_fract_z
Al1 0.000 0.000 0.000
Co1 0.000 0.000 0.633
Co2 0.000 0.192 0.374
Co3 0.000 0.374 0.192
Co4 0.000 0.398 0.682
Co5 0.000 0.633 0.000
Co6 0.000 0.682 0.398
Co7 0.182 0.808 0.808
Co8 0.192 0.000 0.374
Co9 0.192 0.374 0.000
Co10 0.284 0.602 0.602
Co11 0.318 0.318 0.716
Co12 0.318 0.716 0.318
Co13 0.367 0.367 0.367
Co14 0.374 0.000 0.192
Co15 0.374 0.192 0.000
Co16 0.398 0.000 0.682
Co17 0.398 0.682 0.000
Co18 0.602 0.284 0.602
Co19 0.602 0.602 0.284
Co20 0.626 0.626 0.818
Co21 0.626 0.818 0.626
Co22 0.633 0.000 0.000
Co23 0.682 0.000 0.398
Co24 0.682 0.398 0.000
Co25 0.716 0.318 0.318
Co26 0.808 0.182 0.808
Co27 0.808 0.808 0.182
Co28 0.818 0.626 0.626

=====

No. 5
# PBE Al9Co4, relaxed
# **Offset from the most stable computed form**: 1.33 eV/f.u.
# **Space group**: No. 166
# **E**: -4.7064 eV/atom
# **Size of the total moment**: 0.014 μB/cell
data_Al9Co4
_space_group_name_H-M_alt 'P 1'
_space_group_IT_number 1
_cell_length_a 8.579
_cell_length_b 8.579
_cell_length_c 8.579
_cell_angle_alpha 34.73
_cell_angle_beta 34.73
_cell_angle_gamma 34.73
loop_
_space_group_symop_operation_xyz
'x,y,z'
loop_
_atom_site_label
_atom_site_fract_x
_atom_site_fract_y
_atom_site_fract_z
Al1 0.000 0.000 0.000
Al2 0.087 0.087 0.578
Al3 0.087 0.578 0.087
Al4 0.422 0.913 0.913
Al5 0.451 0.451 0.451
Al6 0.549 0.549 0.549
Al7 0.578 0.087 0.087
Al8 0.913 0.422 0.913
Al9 0.913 0.913 0.422
Co1 0.168 0.168 0.168
Co2 0.353 0.353 0.353
Co3 0.647 0.647 0.647
Co4 0.832 0.832 0.832

=====

No. 6
# PBE Al5Co8, relaxed
# **Offset from the most stable computed form**: 0.40 eV/f.u.
# **Space group**: No. 166
# **E**: -5.9977 eV/atom
# **Size of the total moment**: 8.353 μB/cell
data_Al5Co8
_space_group_name_H-M_alt 'P 1'
_space_group_IT_number 1
_cell_length_a 8.564
_cell_length_b 8.564
_cell_length_c 8.564
_cell_angle_alpha 32.35
_cell_angle_beta 32.35
_cell_angle_gamma 32.35
loop_
_space_group_symop_operation_xyz
'x,y,z'
loop_
_atom_site_label
_atom_site_fract_x
_atom_site_fract_y
_atom_site_fract_z
Al1 0.000 0.000 0.000
Al2 0.167 0.167 0.167
Al3 0.444 0.444 0.444
Al4 0.556 0.556 0.556
Al5 0.833 0.833 0.833
Co1 0.089 0.089 0.583
Co2 0.089 0.583 0.089
Co3 0.342 0.342 0.342
Co4 0.417 0.911 0.911
Co5 0.583 0.089 0.089
Co6 0.658 0.658 0.658
Co7 0.911 0.417 0.911
Co8 0.911 0.911 0.417

=====

No. 7
# PBE AlCo, relaxed
# **Space group**: No. 194
# **E**: -5.4977 eV/atom
# **Size of the total moment**: 3.967 μB/cell
data_AlCo
_space_group_name_H-M_alt 'P 1'
_space_group_IT_number 1
_cell_length_a 4.975
_cell_length_b 4.975
_cell_length_c 7.109
_cell_angle_alpha 90.00
_cell_angle_beta 90.00
_cell_angle_gamma 120.00
loop_
_space_group_symop_operation_xyz
'x,y,z'
loop_
_atom_site_label
_atom_site_fract_x
_atom_site_fract_y
_atom_site_fract_z
Al1 0.171 0.341 0.250
Al2 0.171 0.829 0.250
Al3 0.341 0.171 0.750
Al4 0.659 0.829 0.250
Al5 0.829 0.171 0.750
Al6 0.829 0.659 0.750
Co1 0.000 0.000 0.000
Co2 0.000 0.000 0.500
Co3 0.333 0.667 0.551
Co4 0.333 0.667 0.949
Co5 0.667 0.333 0.051
Co6 0.667 0.333 0.449

=====

No. 8
# PBE Al25Co4, relaxed
# **Space group**: No. 217
# **E**: -4.1602 eV/atom
# **Size of the total moment**: 0.038 μB/cell
data_Al25Co4
_space_group_name_H-M_alt 'P 1'
_space_group_IT_number 1
_cell_length_a 8.391
_cell_length_b 8.391
_cell_length_c 8.391
_cell_angle_alpha 109.47
_cell_angle_beta 109.47
_cell_angle_gamma 109.47
loop_
_space_group_symop_operation_xyz
'x,y,z'
loop_
_atom_site_label
_atom_site_fract_x
_atom_site_fract_y
_atom_site_fract_z
Al1 0.000 0.000 0.000
Al2 0.000 0.189 0.373
Al3 0.000 0.373 0.189
Al4 0.000 0.423 0.700
Al5 0.000 0.700 0.423
Al6 0.184 0.811 0.811
Al7 0.189 0.000 0.373
Al8 0.189 0.373 0.000
Al9 0.276 0.577 0.577
Al10 0.300 0.300 0.724
Al11 0.300 0.724 0.300
Al12 0.373 0.000 0.189
Al13 0.373 0.189 0.000
Al14 0.423 0.000 0.700
Al15 0.423 0.700 0.000
Al16 0.577 0.276 0.577
Al17 0.577 0.577 0.276
Al18 0.627 0.627 0.816
Al19 0.627 0.816 0.627
Al20 0.700 0.000 0.423
Al21 0.700 0.423 0.000
Al22 0.724 0.300 0.300
Al23 0.811 0.184 0.811
Al24 0.811 0.811 0.184
Al25 0.816 0.627 0.627
Co1 0.000 0.000 0.708
Co2 0.000 0.708 0.000
Co3 0.292 0.292 0.292
Co4 0.708 0.000 0.000

=====

No. 9
# PBE Al5Co8, relaxed
# **Offset from the most stable computed form**: 0.00 eV/f.u.
# **Space group**: No. 166
# **E**: -6.0284 eV/atom
# **Size of the total moment**: 8.784 μB/cell
data_Al5Co8
_space_group_name_H-M_alt 'P 1'
_space_group_IT_number 1
_cell_length_a 8.434
_cell_length_b 8.434
_cell_length_c 8.434
_cell_angle_alpha 32.90
_cell_angle_beta 32.90
_cell_angle_gamma 32.90
loop_
_space_group_symop_operation_xyz
'x,y,z'
loop_
_atom_site_label
_atom_site_fract_x
_atom_site_fract_y
_atom_site_fract_z
Al1 0.000 0.000 0.000
Al2 0.165 0.165 0.165
Al3 0.352 0.352 0.352
Al4 0.648 0.648 0.648
Al5 0.835 0.835 0.835
Co1 0.092 0.092 0.580
Co2 0.092 0.580 0.092
Co3 0.420 0.908 0.908
Co4 0.454 0.454 0.454
Co5 0.546 0.546 0.546
Co6 0.580 0.092 0.092
Co7 0.908 0.420 0.908
Co8 0.908 0.908 0.420

=====

No. 10
# PBE Al2Co, relaxed
# **Space group**: No. 136
# **E**: -5.1022 eV/atom
# **Size of the total moment**: 2.870 μB/cell
data_Al2Co
_space_group_name_H-M_alt 'P 1'
_space_group_IT_number 1
_cell_length_a 9.117
_cell_length_b 9.117
_cell_length_c 4.757
_cell_angle_alpha 90.00
_cell_angle_beta 90.00
_cell_angle_gamma 90.00
loop_
_space_group_symop_operation_xyz
'x,y,z'
loop_
_atom_site_label
_atom_site_fract_x
_atom_site_fract_y
_atom_site_fract_z
Al1 0.038 0.372 0.000
Al2 0.101 0.101 0.000
Al3 0.128 0.538 0.500
Al4 0.181 0.819 0.251
Al5 0.181 0.819 0.749
Al6 0.319 0.319 0.249
Al7 0.319 0.319 0.751
Al8 0.372 0.038 0.000
Al9 0.399 0.601 0.500
Al10 0.462 0.872 0.500
Al11 0.538 0.128 0.500
Al12 0.601 0.399 0.500
Al13 0.628 0.962 0.000
Al14 0.681 0.681 0.249
Al15 0.681 0.681 0.751
Al16 0.819 0.181 0.251
Al17 0.819 0.181 0.749
Al18 0.872 0.462 0.500
Al19 0.899 0.899 0.000
Al20 0.962 0.628 0.000
Co1 0.000 0.000 0.500
Co2 0.067 0.264 0.500
Co3 0.236 0.567 0.000
Co4 0.264 0.067 0.500
Co5 0.433 0.764 0.000
Co6 0.500 0.500 0.000
Co7 0.567 0.236 0.000
Co8 0.736 0.933 0.500
Co9 0.764 0.433 0.000
Co10 0.933 0.736 0.500

=====

No. 11
# PBE AlCo, relaxed
# **Space group**: No. 194
# **E**: -5.7245 eV/atom
# **Size of the total moment**: 8.389 μB/cell
data_AlCo
_space_group_name_H-M_alt 'P 1'
_space_group_IT_number 1
_cell_length_a 4.833
_cell_length_b 4.833
_cell_length_c 14.821
_cell_angle_alpha 90.00
_cell_angle_beta 90.00
_cell_angle_gamma 120.00
loop_
_space_group_symop_operation_xyz
'x,y,z'
loop_
_atom_site_label
_atom_site_fract_x
_atom_site_fract_y
_atom_site_fract_z
Al1 0.000 0.000 0.091
Al2 0.000 0.000 0.409
Al3 0.000 0.000 0.591
Al4 0.000 0.000 0.909
Al5 0.333 0.667 0.128
Al6 0.333 0.667 0.372
Al7 0.333 0.667 0.658
Al8 0.333 0.667 0.842
Al9 0.667 0.333 0.158
Al10 0.667 0.333 0.342
Al11 0.667 0.333 0.628
Al12 0.667 0.333 0.872
Co1 0.000 0.500 0.000
Co2 0.000 0.500 0.500
Co3 0.157 0.314 0.250
Co4 0.157 0.843 0.250
Co5 0.314 0.157 0.750
Co6 0.500 0.000 0.000
Co7 0.500 0.000 0.500
Co8 0.500 0.500 0.000
Co9 0.500 0.500 0.500
Co10 0.686 0.843 0.250
Co11 0.843 0.157 0.750
Co12 0.843 0.686 0.750

=====

No. 12
# PBE AlCo5, relaxed
# **Offset from the most stable computed form**: 0.40 eV/f.u.
# **Space group**: No. 194
# **E**: -6.4819 eV/atom
# **Size of the total moment**: 14.202 μB/cell
data_AlCo5
_space_group_name_H-M_alt 'P 1'
_space_group_IT_number 1
_cell_length_a 4.639
_cell_length_b 4.639
_cell_length_c 7.466
_cell_angle_alpha 90.00
_cell_angle_beta 90.00
_cell_angle_gamma 120.00
loop_
_space_group_symop_operation_xyz
'x,y,z'
loop_
_atom_site_label
_atom_site_fract_x
_atom_site_fract_y
_atom_site_fract_z
Al1 0.000 0.000 0.000
Al2 0.000 0.000 0.500
Co1 0.174 0.348 0.250
Co2 0.174 0.826 0.250
Co3 0.333 0.667 0.577
Co4 0.333 0.667 0.923
Co5 0.348 0.174 0.750
Co6 0.652 0.826 0.250
Co7 0.667 0.333 0.077
Co8 0.667 0.333 0.423
Co9 0.826 0.174 0.750
Co10 0.826 0.652 0.750

=====

No. 13
# PBE Al16Co13, relaxed
# **Offset from the most stable computed form**: 0.99 eV/f.u.
# **Space group**: No. 217
# **E**: -5.5047 eV/atom
# **Size of the total moment**: 3.025 μB/cell
data_Al16Co13
_space_group_name_H-M_alt 'P 1'
_space_group_IT_number 1
_cell_length_a 7.789
_cell_length_b 7.789
_cell_length_c 7.789
_cell_angle_alpha 109.47
_cell_angle_beta 109.47
_cell_angle_gamma 109.47
loop_
_space_group_symop_operation_xyz
'x,y,z'
loop_
_atom_site_label
_atom_site_fract_x
_atom_site_fract_y
_atom_site_fract_z
Al1 0.000 0.000 0.644
Al2 0.000 0.207 0.402
Al3 0.000 0.402 0.207
Al4 0.000 0.644 0.000
Al5 0.196 0.793 0.793
Al6 0.207 0.000 0.402
Al7 0.207 0.402 0.000
Al8 0.356 0.356 0.356
Al9 0.402 0.000 0.207
Al10 0.402 0.207 0.000
Al11 0.598 0.598 0.804
Al12 0.598 0.804 0.598
Al13 0.644 0.000 0.000
Al14 0.793 0.196 0.793
Al15 0.793 0.793 0.196
Al16 0.804 0.598 0.598
Co1 0.000 0.000 0.000
Co2 0.000 0.413 0.695
Co3 0.000 0.695 0.413
Co4 0.282 0.587 0.587
Co5 0.305 0.305 0.718
Co6 0.305 0.718 0.305
Co7 0.413 0.000 0.695
Co8 0.413 0.695 0.000
Co9 0.587 0.282 0.587
Co10 0.587 0.587 0.282
Co11 0.695 0.000 0.413
Co12 0.695 0.413 0.000
Co13 0.718 0.305 0.305

=====

No. 14
# PBE AlCo, relaxed
# **Space group**: No. 194
# **E**: -5.0198 eV/atom
# **Size of the total moment**: 0.014 μB/cell
data_AlCo
_space_group_name_H-M_alt 'P 1'
_space_group_IT_number 1
_cell_length_a 4.030
_cell_length_b 4.030
_cell_length_c 4.627
_cell_angle_alpha 90.00
_cell_angle_beta 90.00
_cell_angle_gamma 120.00
loop_
_space_group_symop_operation_xyz
'x,y,z'
loop_
_atom_site_label
_atom_site_fract_x
_atom_site_fract_y
_atom_site_fract_z
Al1 0.333 0.667 0.250
Al2 0.667 0.333 0.750
Co1 0.333 0.667 0.750
Co2 0.667 0.333 0.250

=====

No. 15
# PBE AlCo5, relaxed
# **Offset from the most stable computed form**: 0.43 eV/f.u.
# **Space group**: No. 194
# **E**: -6.4779 eV/atom
# **Size of the total moment**: 28.411 μB/cell
data_AlCo5
_space_group_name_H-M_alt 'P 1'
_space_group_IT_number 1
_cell_length_a 4.620
_cell_length_b 4.620
_cell_length_c 15.051
_cell_angle_alpha 90.00
_cell_angle_beta 90.00
_cell_angle_gamma 120.00
loop_
_space_group_symop_operation_xyz
'x,y,z'
loop_
_atom_site_label
_atom_site_fract_x
_atom_site_fract_y
_atom_site_fract_z
Al1 0.333 0.667 0.126
Al2 0.333 0.667 0.374
Al3 0.667 0.333 0.626
Al4 0.667 0.333 0.874
Co1 0.000 0.000 0.089
Co2 0.000 0.000 0.411
Co3 0.000 0.000 0.589
Co4 0.000 0.000 0.911
Co5 0.000 0.500 0.000
Co6 0.000 0.500 0.500
Co7 0.159 0.319 0.250
Co8 0.159 0.841 0.250
Co9 0.319 0.159 0.750
Co10 0.333 0.667 0.662
Co11 0.333 0.667 0.838
Co12 0.500 0.000 0.000
Co13 0.500 0.000 0.500
Co14 0.500 0.500 0.000
Co15 0.500 0.500 0.500
Co16 0.667 0.333 0.162
Co17 0.667 0.333 0.338
Co18 0.681 0.841 0.250
Co19 0.841 0.159 0.750
Co20 0.841 0.681 0.750

=====

No. 16
# PBE AlCo, relaxed
# **Space group**: No. 225
# **E**: -5.2130 eV/atom
# **Size of the total moment**: 0.028 μB/cell
data_AlCo
_space_group_name_H-M_alt 'P 1'
_space_group_IT_number 1
_cell_length_a 4.776
_cell_length_b 4.776
_cell_length_c 4.776
_cell_angle_alpha 90.00
_cell_angle_beta 90.00
_cell_angle_gamma 90.00
loop_
_space_group_symop_operation_xyz
'x,y,z'
loop_
_atom_site_label
_atom_site_fract_x
_atom_site_fract_y
_atom_site_fract_z
Al1 0.000 0.000 0.000
Al2 0.000 0.500 0.500
Al3 0.500 0.000 0.500
Al4 0.500 0.500 0.000
Co1 0.000 0.000 0.500
Co2 0.000 0.500 0.000
Co3 0.500 0.000 0.000
Co4 0.500 0.500 0.500

=====

No. 17
# PBE Al4Co9, relaxed
# **Offset from the most stable computed form**: 1.13 eV/f.u.
# **Space group**: No. 166
# **E**: -6.1625 eV/atom
# **Size of the total moment**: 10.886 μB/cell
data_Al4Co9
_space_group_name_H-M_alt 'P 1'
_space_group_IT_number 1
_cell_length_a 8.822
_cell_length_b 8.822
_cell_length_c 8.822
_cell_angle_alpha 30.28
_cell_angle_beta 30.28
_cell_angle_gamma 30.28
loop_
_space_group_symop_operation_xyz
'x,y,z'
loop_
_atom_site_label
_atom_site_fract_x
_atom_site_fract_y
_atom_site_fract_z
Al1 0.049 0.049 0.049
Al2 0.152 0.152 0.152
Al3 0.848 0.848 0.848
Al4 0.951 0.951 0.951
Co1 0.084 0.591 0.591
Co2 0.336 0.336 0.336
Co3 0.409 0.409 0.916
Co4 0.409 0.916 0.409
Co5 0.500 0.500 0.500
Co6 0.591 0.084 0.591
Co7 0.591 0.591 0.084
Co8 0.664 0.664 0.664
Co9 0.916 0.409 0.409